No. 1
CaAl2Ga: optimized geometry, PBE-GGA.

The space group is P4/nmm (No. 129, origin choice 2) and the conventional cell measures 4.171, 4.171 and 9.935 Å, with angles of 90.00, 90.00 and 90.00 degrees. The distinct sites, in fractional coordinates, are Ca at (0.250, 0.250, 0.245), Al at (0.250, 0.250, 0.944), Al at (0.250, 0.750, 0.500) and Ga at (0.250, 0.250, 0.667).

The total moment is 0.00 μB per formula unit. The density of states at the Fermi level comes out at 3.77 states/eV/cell. Its calculated formation energy is -0.209 eV/atom.

---

No. 2
Ca5Pt3: optimized geometry, PBE-GGA.

The space group is P4/mmm (No. 123) and the conventional cell measures 3.586, 3.586 and 17.880 Å, with angles of 90.00, 90.00 and 90.00 degrees. The distinct sites, in fractional coordinates, are Ca at (0.000, 0.000, 0.000), Ca at (0.000, 0.000, 0.338), Ca at (0.500, 0.500, 0.164), Pt at (0.000, 0.000, 0.500) and Pt at (0.500, 0.500, 0.426).

The total moment is 0.00 μB per formula unit. The calculation puts the energy above the most stable polymorph in this dataset at 647 meV/atom. The density of states at the Fermi level comes out at 7.14 states/eV/cell. Its calculated formation energy is -0.185 eV/atom.

---

No. 3
SrTm3Cu: optimized geometry, PBE-GGA.

The space group is Pm-3m (No. 221) and the conventional cell measures 5.431, 5.431 and 5.431 Å, with angles of 90.00, 90.00 and 90.00 degrees. The distinct sites, in fractional coordinates, are Sr at (0.000, 0.000, 0.000), Tm at (0.000, 0.500, 0.500) and Cu at (0.500, 0.500, 0.500).

The total moment is 0.00 μB per formula unit. The density of states at the Fermi level comes out at 8.46 states/eV/cell. Its calculated formation energy is 0.111 eV/atom.

---

No. 4
AlHPd3: optimized geometry, PBE-GGA.

The space group is Cmcm (No. 63) and the conventional cell measures 5.489, 8.590 and 5.699 Å, with angles of 90.00, 90.00 and 90.00 degrees. The distinct sites, in fractional coordinates, are Al at (0.000, 0.010, 0.250), H at (0.000, 0.368, 0.750), Pd at (0.000, 0.500, 0.000) and Pd at (0.246, 0.260, 0.250).

The total moment is 0.00 μB per formula unit. The calculation puts the energy above the most stable polymorph in this dataset at 286 meV/atom. The density of states at the Fermi level comes out at 6.75 states/eV/cell.